## 1
DFT (PBE) results for a relaxed Rb2Na2Hg3 crystal.

a b c (Å): 5.509 7.195 8.397
angles (deg): 119.20 90.00 112.51
Positions (direct):
Hg: 0.500 0.000 0.000
Hg: 0.416 0.832 0.586
Hg: 0.584 0.168 0.414
Na: 0.865 0.730 0.739
Na: 0.135 0.270 0.261
Rb: 0.162 0.323 0.768
Rb: 0.838 0.677 0.232

---

## 2
DFT (PBE) results for a relaxed Rb2Na2Hg3 crystal.

a b c (Å): 5.019 7.045 8.641
angles (deg): 82.33 73.12 69.13
Positions (direct):
Hg: 0.965 0.340 0.730
Hg: 0.000 0.000 0.000
Hg: 0.035 0.660 0.270
Na: 0.639 0.699 0.023
Na: 0.361 0.301 0.977
Rb: 0.688 0.234 0.389
Rb: 0.312 0.766 0.611

---

Compare the structures above. Which one is the least stable? 2 is.